VASP calculation (PBE-GGA) on TbPmGaCu after structural relaxation.

It has space group F-43m (No. 216), with a = 7.186 Å, b = 7.186 Å, c = 7.186 Å, α = 90.00°, β = 90.00° and γ = 90.00°. The inequivalent atoms are Tb at (0.000, 0.000, 0.000), Pm at (0.000, 0.000, 0.500), Ga at (0.250, 0.250, 0.250) and Cu at (0.250, 0.250, 0.750).

The electronic total energy comes out at -72.05 eV per cell. For the formation enthalpy at 0 K, the calculation gives -377 meV/atom.

VASP calculation (PBE-GGA) on LiNd2As after structural relaxation.

It has space group P4/mmm (No. 123), with a = 4.953 Å, b = 4.953 Å, c = 4.018 Å, α = 90.00°, β = 90.00° and γ = 90.00°. The inequivalent atoms are Li at (0.000, 0.000, 0.000), Nd at (0.000, 0.500, 0.500) and As at (0.500, 0.500, 0.000).

The electronic total energy comes out at -18.50 eV per cell. For the energy above the lowest structure with this stoichiometry, the calculation gives 0 meV per atom. For the formation enthalpy at 0 K, the calculation gives -600 meV/atom.

VASP calculation (PBE-GGA) on ScZnCl after structural relaxation.

It has space group F-43m (No. 216), with a = 6.623 Å, b = 6.623 Å, c = 6.623 Å, α = 90.00°, β = 90.00° and γ = 90.00°. The inequivalent atoms are Sc at (0.000, 0.000, 0.000), Zn at (0.250, 0.250, 0.750) and Cl at (0.000, 0.000, 0.500).

The electronic total energy comes out at -36.65 eV per cell. For the energy above the lowest structure with this stoichiometry, the calculation gives 890 meV per atom.

VASP calculation (PBE-GGA) on Zn2Si2Ni after structural relaxation.

It has space group P4/mbm (No. 127), with a = 5.998 Å, b = 5.998 Å, c = 4.059 Å, α = 90.00°, β = 90.00° and γ = 90.00°. The inequivalent atoms are Zn at (0.180, 0.320, 0.000), Si at (0.142, 0.642, 0.500) and Ni at (0.000, 0.000, 0.500).

The electronic total energy comes out at -38.08 eV per cell.

What is the electronic total energy in the second record?
-18.50 eV per cell

The highest electronic total energy belongs to which entry?
LiNd2As

Among the records above, which one has the lowest electronic total energy?
TbPmGaCu

Which value of electronic total energy does entry 3 give?
-36.65 eV per cell